Record 1
Density functional theory data (GGA-PBE) for ScIn2Pd after structural relaxation.

Calculated values
raw total energy = -18.92 eV/cell
density = 7.802 g cm⁻³
total magnetization = 0.11 μB/atom
density of states at the Fermi level = 2.29 states/eV/cell

Cell and atoms, written as POSCAR:
```
ScIn2Pd
1.0
-1.805 0.418 -2.746
-2.763 0.062 1.826
0.629 7.329 0.703
Sc Pd In
1 1 2
direct
0.500 0.500 0.500
0.500 0.500 0.000
0.000 0.000 0.779
0.000 0.000 0.221
```


Record 2
Density functional theory data (GGA-PBE) for Ac2DyNpSe6 after structural relaxation.

Calculated values
raw total energy = -63.73 eV/cell
density = 6.681 g cm⁻³
total magnetization = 0.40 μB/atom
density of states at the Fermi level = 6.24 states/eV/cell
uncorrected formation energy = -1.707 eV per atom

Cell and atoms, written as POSCAR:
```
Ac2DyNpSe6
1.0
7.607 0.000 0.000
3.803 6.587 0.000
3.803 2.196 6.583
Ac Dy Np Se
2 1 1 6
direct
0.526 0.526 0.421
0.025 0.025 0.925
0.318 0.318 0.046
0.818 0.818 0.547
0.596 0.188 0.261
0.188 0.955 0.261
0.955 0.596 0.261
0.449 0.684 0.764
0.684 0.102 0.764
0.102 0.449 0.764
```


Record 3
Density functional theory data (GGA-PBE) for Dy7Tm12Bi after structural relaxation.

Calculated values
raw total energy = -86.69 eV/cell
density = 8.718 g cm⁻³
total magnetization = 0.00 μB/atom
density of states at the Fermi level = 36.68 states/eV/cell

Cell and atoms, written as POSCAR:
```
Dy7Tm12Bi
1.0
0.202 -5.524 -6.628
8.610 0.484 -0.339
0.741 -6.691 5.401
Dy Tm Bi
7 12 1
direct
0.222 0.627 0.763
0.373 0.237 0.778
0.237 0.778 0.373
0.500 0.500 0.500
0.763 0.222 0.627
0.627 0.763 0.222
0.778 0.373 0.237
0.008 0.342 0.887
0.658 0.113 0.992
0.464 0.122 0.343
0.878 0.657 0.536
0.113 0.992 0.658
0.657 0.536 0.878
0.343 0.464 0.122
0.887 0.008 0.342
0.122 0.343 0.464
0.536 0.878 0.657
0.342 0.887 0.008
0.992 0.658 0.113
0.000 0.000 0.000
```


Record 4
Density functional theory data (GGA-PBE) for UPb2 after structural relaxation.

Calculated values
raw total energy = -66.90 eV/cell
density = 11.428 g cm⁻³
total magnetization = 1.19 μB/atom
density of states at the Fermi level = 19.76 states/eV/cell

Cell and atoms, written as POSCAR:
```
UPb2
1.0
-6.530 -1.838 4.472
-3.923 5.846 4.054
-7.382 2.373 -2.424
U Pb
4 8
direct
0.625 0.125 0.625
0.125 0.625 0.625
0.625 0.625 0.625
0.625 0.625 0.125
0.347 0.960 0.347
0.960 0.347 0.347
0.903 0.903 0.903
0.290 0.903 0.903
0.903 0.290 0.903
0.903 0.903 0.290
0.347 0.347 0.347
0.347 0.347 0.960
```


Record 5
Density functional theory data (GGA-PBE) for BPbO3 after structural relaxation.

Calculated values
raw total energy = -21.20 eV/cell
density = 5.963 g cm⁻³
total magnetization = 0.20 μB/atom
density of states at the Fermi level = 2.89 states/eV/cell
uncorrected formation energy = 0.812 eV per atom

Cell and atoms, written as POSCAR:
```
BPbO3
1.0
4.200 0.000 0.000
0.000 4.200 0.000
0.000 0.000 4.200
Pb B O
1 1 3
direct
0.000 0.000 0.000
0.500 0.500 0.500
0.000 0.500 0.000
0.000 0.000 0.500
0.500 0.000 0.000
```


Record 6
Density functional theory data (GGA-PBE) for Li2SnGe2 after structural relaxation.

Calculated values
raw total energy = -35.05 eV/cell
density = 4.884 g cm⁻³
total magnetization = 0.00 μB/atom
density of states at the Fermi level = 2.96 states/eV/cell
excess energy over the best structure of this formula in the dataset = 0.092 eV/atom

Cell and atoms, written as POSCAR:
```
Li2SnGe2
1.0
-7.300 3.138 -1.440
-2.862 -7.384 -1.581
-0.693 -0.330 2.794
Ge Sn Li
4 2 4
direct
0.182 0.682 0.500
0.682 0.818 0.500
0.818 0.318 0.500
0.318 0.182 0.500
0.000 0.000 0.000
0.500 0.500 0.000
0.384 0.884 0.000
0.884 0.616 0.000
0.616 0.116 0.000
0.116 0.384 0.000
```


Record 7
Density functional theory data (GGA-PBE) for SnGeN2O after structural relaxation.

Calculated values
raw total energy = -28.23 eV/cell
density = 6.821 g cm⁻³
total magnetization = 0.00 μB/atom
density of states at the Fermi level = 1.98 states/eV/cell
uncorrected formation energy = 0.399 eV per atom

Cell and atoms, written as POSCAR:
```
SnGeN2O
1.0
3.932 0.000 0.000
0.000 3.932 0.000
0.000 0.000 3.707
Ge Sn O N
1 1 1 2
direct
0.000 0.000 0.000
0.500 0.500 0.500
0.000 0.000 0.500
0.000 0.500 0.000
0.500 0.000 0.000
```


Record 8
Density functional theory data (GGA-PBE) for Y3PaAs4 after structural relaxation.

Calculated values
raw total energy = -58.95 eV/cell
density = 6.734 g cm⁻³
total magnetization = 0.01 μB/atom
density of states at the Fermi level = 5.52 states/eV/cell
excess energy over the best structure of this formula in the dataset = 0.003 eV/atom

Cell and atoms, written as POSCAR:
```
Y3PaAs4
1.0
-3.843 -1.485 0.037
0.426 -0.926 7.042
-2.526 6.505 -1.390
Y Pa As
3 1 4
direct
0.000 0.000 0.500
0.500 0.500 0.500
0.000 0.500 0.000
0.500 0.000 0.000
0.000 0.248 0.248
0.500 0.753 0.247
0.000 0.752 0.752
0.500 0.247 0.753
```


Record 9
Density functional theory data (GGA-PBE) for Be2In2Pd after structural relaxation.

Calculated values
raw total energy = -15.46 eV/cell
density = 6.717 g cm⁻³
total magnetization = 0.00 μB/atom
density of states at the Fermi level = 2.91 states/eV/cell
excess energy over the best structure of this formula in the dataset = 0.435 eV/atom

Cell and atoms, written as POSCAR:
```
Be2In2Pd
1.0
4.028 0.000 0.000
0.000 4.028 0.000
2.014 2.014 5.394
Be Pd In
2 1 2
direct
0.406 0.406 0.187
0.594 0.594 0.813
0.000 0.000 0.000
0.750 0.250 0.500
0.250 0.750 0.500
```


Record 10
Density functional theory data (GGA-PBE) for BaCa2Er after structural relaxation.

Calculated values
raw total energy = -9.75 eV/cell
density = 3.820 g cm⁻³
total magnetization = 0.00 μB/atom
density of states at the Fermi level = 6.96 states/eV/cell
excess energy over the best structure of this formula in the dataset = 0.056 eV/atom

Cell and atoms, written as POSCAR:
```
BaCa2Er
1.0
-1.942 4.619 -3.625
-6.046 0.776 -1.048
-2.971 4.829 2.469
Ca Ba Er
2 1 1
direct
0.250 0.250 0.250
0.750 0.750 0.750
0.500 0.500 0.500
0.000 0.000 0.000
```


Record 11
Density functional theory data (GGA-PBE) for LiSbPd14 after structural relaxation.

Calculated values
raw total energy = -81.49 eV/cell
density = 10.837 g cm⁻³
total magnetization = 0.00 μB/atom
density of states at the Fermi level = 27.94 states/eV/cell
uncorrected formation energy = -0.172 eV per atom

Cell and atoms, written as POSCAR:
```
LiSbPd14
1.0
5.626 -0.012 0.000
0.012 5.626 0.000
0.000 0.000 7.835
Li Sb Pd
1 1 14
direct
0.375 0.375 0.500
0.875 0.875 0.500
0.875 0.875 0.000
0.375 0.375 0.000
0.875 0.375 0.500
0.875 0.375 0.000
0.375 0.875 0.500
0.375 0.875 0.000
0.624 0.126 0.252
0.624 0.126 0.748
0.126 0.624 0.252
0.126 0.624 0.748
0.624 0.624 0.252
0.624 0.624 0.748
0.126 0.126 0.252
0.126 0.126 0.748
```


Record 12
Density functional theory data (GGA-PBE) for CsUCrSe4 after structural relaxation.

Calculated values
raw total energy = -82.51 eV/cell
density = 5.673 g cm⁻³
total magnetization = 0.71 μB/atom
density of states at the Fermi level = 8.14 states/eV/cell
uncorrected formation energy = -0.793 eV per atom

Cell and atoms, written as POSCAR:
```
CsUCrSe4
1.0
-6.174 -3.708 3.981
6.310 -4.611 -3.014
0.833 6.220 7.083
Cs U Cr Se
2 2 2 8
direct
0.817 0.634 0.067
0.183 0.366 0.933
0.500 0.000 0.500
0.500 0.000 0.000
0.500 0.500 0.500
0.000 0.500 0.500
0.749 0.498 0.669
0.306 0.030 0.265
0.724 0.030 0.265
0.749 0.498 0.329
0.251 0.502 0.671
0.694 0.970 0.735
0.276 0.970 0.735
0.251 0.502 0.331
```